# 1
Entry from Alexandria via LeMat-Bulk: BeCrTe2 after structural relaxation (GGA-PBE).

## Properties
Formation energy without anion corrections in eV per atom: 0.074
Spin magnetization in μB per formula unit: 3.871
Space group: No. 99

Cell: 3.899 3.900 5.714 Å, 90.00 90.00 90.00°
Fractional coordinates of all 4 atoms:
Te 0.500 0.500 0.359
Te 0.000 0.000 0.855
Be 0.000 0.000 0.423
Cr 0.500 0.500 0.863


# 2
Entry from Alexandria via LeMat-Bulk: CdIn6Hg7 after structural relaxation (GGA-PBE).

## Properties
Spin magnetization in μB per formula unit: 0.000
Space group: No. 72
DFT formation energy in eV per formula unit: 0.9

Cell: 5.687 13.582 13.582 Å, 119.08 77.91 77.91°
Fractional coordinates of all 28 atoms:
In 0.062 0.576 0.804
In 0.685 0.692 0.308
In 0.058 0.076 0.304
In 0.558 0.804 0.576
In 0.438 0.696 0.924
In 0.942 0.924 0.696
In 0.562 0.304 0.076
In 0.442 0.196 0.424
In 0.815 0.192 0.808
In 0.185 0.808 0.192
In 0.315 0.308 0.692
In 0.938 0.424 0.196
Hg 0.249 0.976 0.024
Hg 0.644 0.438 0.844
Hg 0.251 0.476 0.524
Hg 0.575 0.938 0.344
Hg 0.250 0.250 0.250
Hg 0.356 0.562 0.156
Hg 0.144 0.344 0.938
Hg 0.749 0.524 0.476
Hg 0.425 0.062 0.656
Hg 0.750 0.750 0.750
Hg 0.856 0.656 0.062
Hg 0.751 0.024 0.976
Hg 0.075 0.844 0.438
Hg 0.925 0.156 0.562
Cd 0.250 0.750 0.750
Cd 0.750 0.250 0.250


# 3
Entry from Alexandria via LeMat-Bulk: GdSnBi2 after structural relaxation (GGA-PBE).

## Properties
Energy above the lowest structure with this stoichiometry in eV per atom: 0.000
Spin magnetization in μB per formula unit: 6.875
Space group: No. 123
DFT formation energy in eV per formula unit: -1.6

Cell: 4.550 5.080 5.080 Å, 90.00 90.00 90.00°
Fractional coordinates of all 4 atoms:
Bi 0.000 0.500 0.000
Bi 0.000 0.000 0.500
Gd 0.500 0.500 0.500
Sn 0.500 0.000 0.000


# 4
Entry from Alexandria via LeMat-Bulk: YRu after structural relaxation (GGA-PBE).

## Properties
Spin magnetization in μB per formula unit: 0.000
Space group: No. 164
DFT formation energy in eV per formula unit: 0.3

Cell: 3.880 3.880 8.040 Å, 90.00 90.00 120.00°
Fractional coordinates of all 4 atoms:
Y 0.000 0.000 0.438
Y 0.333 0.667 0.812
Ru 0.000 0.000 0.077
Ru 0.333 0.667 0.173


# 5
Entry from Alexandria via LeMat-Bulk: SrMgTc after structural relaxation (GGA-PBE).

## Properties
Energy above the lowest structure with this stoichiometry in eV per atom: 0.396
Spin magnetization in μB per formula unit: 2.349
Space group: No. 216
DFT formation energy in eV per formula unit: 3.0

Cell: 4.988 4.988 4.988 Å, 60.00 60.00 60.00°
Fractional coordinates of all 3 atoms:
Mg 0.000 0.000 0.000
Tc 0.750 0.750 0.750
Sr 0.500 0.500 0.500


# 6
Entry from Alexandria via LeMat-Bulk: CePrDy after structural relaxation (GGA-PBE).

## Properties
Energy above the lowest structure with this stoichiometry in eV per atom: 0.173
Spin magnetization in μB per formula unit: 0.144
Space group: No. 129
DFT formation energy in eV per formula unit: 0.7

Cell: 4.810 4.810 8.557 Å, 90.00 90.00 90.00°
Fractional coordinates of all 6 atoms:
Ce 0.500 0.500 0.000
Ce 0.000 0.000 0.000
Dy 0.000 0.500 0.695
Dy 0.500 0.000 0.305
Pr 0.500 0.000 0.714
Pr 0.000 0.500 0.286


# 7
Entry from Alexandria via LeMat-Bulk: CrCdFe2 after structural relaxation (GGA-PBE).

## Properties
Spin magnetization in μB per formula unit: 4.067
Space group: No. 65
DFT formation energy in eV per formula unit: 1.3

Cell: 2.615 2.615 8.417 Å, 90.00 90.00 108.01°
Fractional coordinates of all 4 atoms:
Fe 0.000 0.000 0.529
Fe 0.000 0.000 0.971
Cd 0.500 0.500 0.250
Cr 0.500 0.500 0.750


# 8
Entry from Alexandria via LeMat-Bulk: TbVCo2 after structural relaxation (GGA-PBE).

## Properties
Energy above the lowest structure with this stoichiometry in eV per atom: 0.000
Spin magnetization in μB per formula unit: 0.001
Space group: No. 166
DFT formation energy in eV per formula unit: -0.4

Cell: 3.971 3.971 5.420 Å, 68.51 68.51 60.00°
Fractional coordinates of all 4 atoms:
Co 0.298 0.298 0.106
Co 0.702 0.702 0.894
V 0.000 0.000 0.000
Tb 0.500 0.500 0.500